1.
12
Lattice="3.474 0.000 0.000 0.000 7.251 1.349 0.000 -2.505 9.326" Properties=species:S:1:pos:R:3 comment="PBE-GGA KYHgO3, relaxed" magnetic_moment_mub_per_fu=0.0 e_form_raw_ev_per_atom=-1.783 pbc="T T T"
K 2.606 4.216 8.376
Hg 2.606 4.946 5.001
O 2.606 0.190 4.329
O 0.869 -0.679 7.891
Hg 0.869 -0.201 5.673
Y 2.606 0.519 8.688
K 0.869 0.530 2.298
O 2.606 5.424 2.783
O 0.869 4.555 6.345
O 2.606 2.749 1.504
O 0.869 1.996 9.171
Y 0.869 4.227 1.986

2.
4
Lattice="11.869 -0.004 -0.003 11.476 3.028 -0.003 11.476 1.486 2.638" Properties=species:S:1:pos:R:3 comment="PBE-GGA K2HgOs, relaxed" delta_e_f_mev_per_atom=935 magnetic_moment_mub_per_fu=0.2 pbc="T T T"
Hg 26.117 3.383 1.975
K 34.599 4.481 2.616
K 17.634 2.284 1.333
Os 8.706 1.128 0.658

3.
3
Lattice="-8.215 1.012 -0.614 -7.649 -2.814 -1.567 7.726 0.393 3.006" Properties=species:S:1:pos:R:3 comment="PBE-GGA KHgOs, relaxed" delta_e_f_mev_per_atom=1029 relative_energy_kj_per_mol_fu=33.9 magnetic_moment_mub_per_fu=0.2 pbc="T T T"
Hg -0.186 -0.021 -0.026
K -5.208 -0.591 -0.716
Os -10.470 -1.189 -1.440

4.
4
Lattice="-5.362 -3.819 -1.351 4.153 0.650 -4.680 0.478 -2.851 0.021" Properties=species:S:1:pos:R:3 comment="PBE-GGA K2HgOs, relaxed" delta_e_f_mev_per_atom=968 magnetic_moment_mub_per_fu=0.0 pbc="T T T"
K -2.442 -3.335 -0.665
K 0.000 0.000 0.000
Hg -0.604 -1.584 -3.015
Os 2.315 -1.101 -2.329

5.
3
Lattice="8.563 -0.032 0.027 7.988 2.713 -0.089 0.576 -0.554 2.691" Properties=species:S:1:pos:R:3 comment="PBE-GGA KHgOs, relaxed" delta_e_f_mev_per_atom=1028 relative_energy_kj_per_mol_fu=33.5 magnetic_moment_mub_per_fu=0.2 pbc="T T T"
K 5.807 0.506 1.790
Hg 0.751 -0.518 2.661
Os 11.145 1.587 0.870

6.
5
Lattice="-3.084 4.777 -2.505 1.750 -1.843 -5.670 -5.102 -3.520 -0.431" Properties=species:S:1:pos:R:3 comment="PBE-GGA K3HgOs, relaxed" delta_e_f_mev_per_atom=1050 relative_energy_kj_per_mol_fu=0.0 magnetic_moment_mub_per_fu=1.3 pbc="T T T"
K -1.542 2.389 -1.253
K 0.875 -0.922 -2.835
Hg -3.218 -0.293 -4.303
K -2.551 -1.760 -0.215
Os 0.000 0.000 0.000

7.
6
Lattice="5.645 1.423 1.081 1.866 0.682 5.578 3.650 -3.991 2.410" Properties=species:S:1:pos:R:3 comment="PBE-GGA KHg4Os, relaxed" delta_e_f_mev_per_atom=791 magnetic_moment_mub_per_fu=2.5 pbc="T T T"
Hg 6.013 -2.714 4.606
Hg 5.115 -0.363 6.200
Hg 4.177 -0.706 3.394
Os 0.000 0.000 0.000
K 8.371 -1.415 6.802
Hg 7.017 0.010 3.937

8.
3
Lattice="5.275 0.000 0.000 -2.637 4.568 0.000 0.000 0.000 2.726" Properties=species:S:1:pos:R:3 comment="PBE-GGA KHgOs, relaxed" delta_e_f_mev_per_atom=1087 relative_energy_kj_per_mol_fu=50.7 magnetic_moment_mub_per_fu=0.0 pbc="T T T"
Os 0.000 3.045 2.274
Hg 0.000 0.000 2.270
K 2.637 1.523 0.908

9.
4
Lattice="6.037 -0.013 0.053 5.296 2.897 0.053 0.823 0.210 5.267" Properties=species:S:1:pos:R:3 comment="PBE-GGA K2HgOs, relaxed" delta_e_f_mev_per_atom=1042 magnetic_moment_mub_per_fu=0.0 pbc="T T T"
K 0.866 0.220 5.236
K 6.035 1.536 2.717
Hg 3.039 0.774 1.343
Os 9.117 2.321 4.029

10.
4
Lattice="-0.684 -4.055 4.648 0.837 -6.104 -0.743 2.807 5.391 -1.257" Properties=species:S:1:pos:R:3 comment="PBE-GGA K2HgOs, relaxed" delta_e_f_mev_per_atom=1075 magnetic_moment_mub_per_fu=0.5 pbc="T T T"
K 0.000 0.000 0.000
Hg 1.100 -1.872 2.672
Os 1.860 -2.897 -0.024
K 0.077 -5.080 1.953

11.
4
Lattice="-0.366 2.770 1.120 -3.099 0.854 -3.124 -7.052 -3.386 6.069" Properties=species:S:1:pos:R:3 comment="PBE-GGA K2HgOs, relaxed" delta_e_f_mev_per_atom=801 magnetic_moment_mub_per_fu=0.0 pbc="T T T"
K -6.441 -3.092 5.543
Hg -6.345 -0.403 2.968
Os -4.211 -2.021 3.624
K -4.098 0.676 1.034

12.
4
Lattice="-1.885 3.696 3.324 -1.561 -1.986 1.323 5.058 -1.227 4.233" Properties=species:S:1:pos:R:3 comment="PBE-GGA K2HgOs, relaxed" delta_e_f_mev_per_atom=921 magnetic_moment_mub_per_fu=0.4 pbc="T T T"
K 0.285 1.238 3.036
Hg 1.759 -0.283 5.563
K 4.709 -1.423 4.253
Os 1.666 -1.884 3.040